Entry from the Alexandria database: an optimized crystal structure of Mn2HgSe (GGA-PBE).

**Space group**: No. 44
**Raw total energy**: -5.362 eV per atom
**ΔE_f (raw)**: 0.17 eV/atom
**Crystal system**: orthorhombic

```
Mn2HgSe
1.0
6.786 0.413 -0.411
5.641 3.795 -0.411
1.047 0.354 3.257
Mn Se Hg
2 1 1
direct
0.013 0.013 0.987 Mn
0.819 0.819 0.681 Mn
0.466 0.466 0.534 Se
0.202 0.202 0.298 Hg
```